1.
# Sb3Ru

Sb3Ru after structural relaxation (PBE, the Alexandria database).

The structure in POSCAR format:
```
Sb3Ru
1.0
-4.313 -0.485 10.197
-3.114 5.407 9.159
0.918 -2.097 -10.844
Sb Ru
6 2
Direct
0.000 0.500 0.500
0.500 0.000 0.500
0.750 0.250 0.500
0.250 0.750 0.500
0.884 0.884 0.000
0.116 0.116 0.000
0.678 0.678 0.000
0.322 0.322 0.000
```

Results
As for the volume: 198.3 Å³ per cell. As for the crystal system: tetragonal. As for the space group: No. 139. As for the magnetization: 0.0 μB per cell. The calculation puts the formation energy (no corrections) at 0.35 eV/atom.



2.
# Sb5Ru

Sb5Ru after structural relaxation (PBE, the Alexandria database).

The structure in POSCAR format:
```
Sb5Ru
1.0
1.663 -9.477 0.000
1.663 9.477 0.000
0.000 0.000 5.003
Sb Ru
5 1
Direct
0.317 0.683 0.500
0.114 0.886 0.000
0.000 0.000 0.500
0.886 0.114 0.000
0.683 0.317 0.500
0.500 0.500 0.000
```

Results
As for the volume: 157.7 Å³ per cell. As for the crystal system: orthorhombic. As for the space group: No. 65. As for the magnetization: 0.0 μB per cell. The calculation puts the formation energy (no corrections) at 0.21 eV/atom.



| no. | E above lowest polymorph (eV per atom) |
| --- | --- |
| 1 | 0.350 |
| 2 | 0.163 |